[1]
RbTlC (PBE-GGA, relaxed); calculated total energy = -3.077 eV/atom; crystal system = orthorhombic; V = 116 Å³/f.u.; total magnetic moment = 0.0000 μB/atom; energy relative to the elements = 107.0 kJ/mol of atoms; space-group type = Pnma (62)
1.0
10.636 0.000 0.000
0.000 6.710 0.000
0.000 0.000 6.489
Rb Tl C
4 4 4
direct
0.154 0.250 0.001 Rb
0.346 0.750 0.501 Rb
0.654 0.250 0.499 Rb
0.846 0.750 0.999 Rb
0.000 0.000 0.500 Tl
0.000 0.500 0.500 Tl
0.500 0.000 0.000 Tl
0.500 0.500 0.000 Tl
0.067 0.750 0.331 C
0.433 0.250 0.831 C
0.567 0.750 0.169 C
0.933 0.250 0.669 C

***

[2]
RbTlC (PBE-GGA, relaxed); calculated total energy = -3.101 eV/atom; crystal system = orthorhombic; V = 81 Å³/f.u.; total magnetic moment = 0.0000 μB/atom; energy relative to the elements = 104.7 kJ/mol of atoms; space-group type = Pmn2_1 (31)
1.0
4.018 0.000 0.000
0.000 6.348 0.000
0.000 0.000 6.324
Rb Tl C
2 2 2
direct
0.000 0.099 0.000 Rb
0.500 0.901 0.500 Rb
0.000 0.440 0.448 Tl
0.500 0.560 0.948 Tl
0.000 0.628 0.767 C
0.500 0.372 0.267 C

***

[3]
RbTlC (PBE-GGA, relaxed); calculated total energy = -2.773 eV/atom; crystal system = hexagonal; V = 135 Å³/f.u.; total magnetic moment = 0.0000 μB/atom; energy relative to the elements = 136.4 kJ/mol of atoms; space-group type = P6_3/mmc (194)
1.0
6.261 0.000 0.000
-3.131 5.422 0.000
0.000 0.000 7.966
Rb Tl C
2 2 2
direct
0.333 0.667 0.250 Rb
0.667 0.333 0.750 Rb
0.000 0.000 0.250 Tl
0.000 0.000 0.750 Tl
0.000 0.000 0.000 C
0.000 0.000 0.500 C

***

[4]
RbTlC (PBE-GGA, relaxed); calculated total energy = -3.052 eV/atom; crystal system = orthorhombic; V = 93 Å³/f.u.; total magnetic moment = 0.0000 μB/atom; energy relative to the elements = 109.4 kJ/mol of atoms; space-group type = Aem2 (39)
1.0
5.864 0.000 0.000
0.000 3.427 4.652
0.000 -3.427 4.652
Rb Tl C
2 2 2
direct
0.000 0.000 0.000 Rb
0.000 0.500 0.500 Rb
0.500 0.250 0.250 Tl
0.500 0.750 0.750 Tl
0.280 0.504 0.004 C
0.720 0.004 0.504 C

***

[5]
RbTlC (PBE-GGA, relaxed); calculated total energy = -3.881 eV/atom; crystal system = orthorhombic; V = 96 Å³/f.u.; total magnetic moment = 0.0000 μB/atom; energy relative to the elements = 29.4 kJ/mol of atoms; space-group type = Amm2 (38)
1.0
4.644 0.000 0.000
0.000 2.075 9.936
0.000 -2.075 9.936
Rb Tl C
2 2 2
direct
0.000 0.000 0.000 Rb
0.500 0.167 0.167 Rb
0.000 0.797 0.797 Tl
0.500 0.370 0.370 Tl
0.000 0.613 0.613 C
0.000 0.676 0.676 C

***

[6]
RbTlC (PBE-GGA, relaxed); calculated total energy = -3.856 eV/atom; crystal system = monoclinic; V = 111 Å³/f.u.; total magnetic moment = 0.0000 μB/atom; energy relative to the elements = 31.8 kJ/mol of atoms; space-group type = Cm (8)
1.0
6.537 -2.931 0.000
6.537 2.931 0.000
-3.157 0.000 5.796
Rb Tl C
2 2 2
direct
0.000 0.000 0.000 Rb
0.566 0.566 0.622 Rb
0.278 0.278 0.593 Tl
0.770 0.770 0.361 Tl
0.078 0.078 0.517 C
0.974 0.974 0.476 C

***

[7]
RbTlC (PBE-GGA, relaxed); calculated total energy = -3.039 eV/atom; crystal system = monoclinic; V = 81 Å³/f.u.; total magnetic moment = 0.1620 μB/atom; energy relative to the elements = 110.7 kJ/mol of atoms; space-group type = C2/m (12)
1.0
5.730 -2.053 0.000
5.730 2.053 0.000
-1.274 0.000 6.910
Rb Tl C
2 2 2
direct
0.120 0.120 0.340 Rb
0.880 0.880 0.660 Rb
0.367 0.367 0.092 Tl
0.633 0.633 0.908 Tl
0.187 0.187 0.802 C
0.813 0.813 0.198 C

***

[8]
RbYTl2C (PBE-GGA, relaxed); calculated total energy = -2.523 eV/atom; crystal system = tetragonal; V = 281 Å³/f.u.; total magnetic moment = 0.0556 μB/atom; energy relative to the elements = 169.3 kJ/mol of atoms; space-group type = P4/mmm (123)
1.0
5.947 0.000 0.000
0.000 5.947 0.000
0.000 0.000 7.931
Rb Y Tl C
1 1 2 1
direct
0.000 0.000 0.000 Rb
0.000 0.000 0.500 Y
0.000 0.500 0.500 Tl
0.500 0.000 0.500 Tl
0.500 0.500 0.000 C

***

[9]
RbV3C (PBE-GGA, relaxed); excess energy over the best structure of this formula in the dataset = 0.000 eV per formula unit; calculated total energy = -6.329 eV/atom; crystal system = cubic; V = 76 Å³/f.u.; total magnetic moment = 0.0477 μB/atom; energy relative to the elements = 113.9 kJ/mol of atoms; space-group type = Pm-3m (221)
1.0
4.238 0.000 0.000
0.000 4.238 0.000
0.000 0.000 4.238
Rb V C
1 3 1
direct
0.000 0.000 0.000 Rb
0.000 0.500 0.500 V
0.500 0.000 0.500 V
0.500 0.500 0.000 V
0.500 0.500 0.500 C

***

[10]
RbVC2 (PBE-GGA, relaxed); excess energy over the best structure of this formula in the dataset = 0.000 eV per formula unit; calculated total energy = -6.369 eV/atom; crystal system = tetragonal; V = 83 Å³/f.u.; total magnetic moment = 0.0000 μB/atom; energy relative to the elements = 73.8 kJ/mol of atoms; space-group type = I-42d (122)
1.0
-3.081 3.081 4.373
3.081 -3.081 4.373
3.081 3.081 -4.373
Rb V C
2 2 4
direct
0.000 0.000 0.000 Rb
0.750 0.250 0.500 Rb
0.250 0.750 0.500 V
0.500 0.500 0.000 V
0.373 0.125 0.748 C
0.375 0.627 0.752 C
0.377 0.625 0.252 C
0.875 0.623 0.248 C

***

[11]
Rb3VC (PBE-GGA, relaxed); excess energy over the best structure of this formula in the dataset = 0.000 eV per formula unit; calculated total energy = -2.624 eV/atom; crystal system = cubic; V = 233 Å³/f.u.; total magnetic moment = 1.3290 μB/atom; energy relative to the elements = 156.8 kJ/mol of atoms; space-group type = Pm-3m (221)
1.0
6.152 0.000 0.000
0.000 6.152 0.000
0.000 0.000 6.152
Rb V C
3 1 1
direct
0.000 0.000 0.500 Rb
0.000 0.500 0.000 Rb
0.500 0.000 0.000 Rb
0.500 0.500 0.500 V
0.000 0.000 0.000 C

***

[12]
RbV3C (PBE-GGA, relaxed); excess energy over the best structure of this formula in the dataset = 13.006 eV per formula unit; calculated total energy = -3.728 eV/atom; crystal system = cubic; V = 88 Å³/f.u.; total magnetic moment = 0.0006 μB/atom; energy relative to the elements = 364.9 kJ/mol of atoms; space-group type = Pm-3m (221)
1.0
4.447 0.000 0.000
0.000 4.447 0.000
0.000 0.000 4.447
Rb V C
1 3 1
direct
0.000 0.000 0.000 Rb
0.000 0.000 0.500 V
0.000 0.500 0.000 V
0.500 0.000 0.000 V
0.500 0.500 0.500 C

***

[13]
RbV2C (PBE-GGA, relaxed); calculated total energy = -6.254 eV/atom; crystal system = cubic; V = 96 Å³/f.u.; total magnetic moment = 1.3569 μB/atom; energy relative to the elements = 82.4 kJ/mol of atoms; space-group type = Fd-3m (227)
1.0
0.000 4.584 4.584
4.584 0.000 4.584
4.584 4.584 0.000
Rb V C
2 4 2
direct
0.125 0.125 0.125 Rb
0.875 0.875 0.875 Rb
0.000 0.500 0.500 V
0.500 0.000 0.500 V
0.500 0.500 0.000 V
0.500 0.500 0.500 V
0.375 0.375 0.375 C
0.625 0.625 0.625 C

***

[14]
RbVC2 (PBE-GGA, relaxed); excess energy over the best structure of this formula in the dataset = 7.716 eV per formula unit; calculated total energy = -4.440 eV/atom; crystal system = cubic; V = 59 Å³/f.u.; total magnetic moment = 0.6207 μB/atom; energy relative to the elements = 259.9 kJ/mol of atoms; space-group type = Fm-3m (225)
1.0
0.000 3.087 3.087
3.087 0.000 3.087
3.087 3.087 0.000
Rb V C
1 1 2
direct
0.000 0.000 0.000 Rb
0.500 0.500 0.500 V
0.250 0.250 0.250 C
0.750 0.750 0.750 C

***

[15]
Rb2VC (PBE-GGA, relaxed); calculated total energy = -4.148 eV/atom; crystal system = tetragonal; V = 160 Å³/f.u.; total magnetic moment = 0.6760 μB/atom; energy relative to the elements = 88.9 kJ/mol of atoms; space-group type = I-42d (122)
1.0
-6.387 6.387 1.957
6.387 -6.387 1.957
6.387 6.387 -1.957
Rb V C
4 2 2
direct
0.375 0.077 0.202 Rb
0.827 0.625 0.702 Rb
0.875 0.173 0.798 Rb
0.923 0.125 0.298 Rb
0.250 0.750 0.500 V
0.500 0.500 0.000 V
0.000 0.000 0.000 C
0.750 0.250 0.500 C

***

[16]
RbVZn2C (PBE-GGA, relaxed); calculated total energy = -1.542 eV/atom; crystal system = tetragonal; V = 303 Å³/f.u.; total magnetic moment = 1.0966 μB/atom; energy relative to the elements = 273.0 kJ/mol of atoms; space-group type = P4/mmm (123)
1.0
6.715 0.000 0.000
0.000 6.715 0.000
0.000 0.000 6.723
Rb V Zn C
1 1 2 1
direct
0.000 0.000 0.000 Rb
0.000 0.000 0.500 V
0.000 0.500 0.000 Zn
0.500 0.000 0.000 Zn
0.500 0.500 0.500 C

***

[17]
RbW3C (PBE-GGA, relaxed); excess energy over the best structure of this formula in the dataset = 17.751 eV per formula unit; calculated total energy = -4.579 eV/atom; crystal system = cubic; V = 102 Å³/f.u.; total magnetic moment = 0.0000 μB/atom; energy relative to the elements = 504.7 kJ/mol of atoms; space-group type = Pm-3m (221)
1.0
4.679 0.000 0.000
0.000 4.679 0.000
0.000 0.000 4.679
Rb W C
1 3 1
direct
0.000 0.000 0.000 Rb
0.000 0.000 0.500 W
0.000 0.500 0.000 W
0.500 0.000 0.000 W
0.500 0.500 0.500 C

***

[18]
RbW3C (PBE-GGA, relaxed); excess energy over the best structure of this formula in the dataset = 0.000 eV per formula unit; calculated total energy = -8.129 eV/atom; crystal system = cubic; V = 83 Å³/f.u.; total magnetic moment = 0.0000 μB/atom; energy relative to the elements = 162.2 kJ/mol of atoms; space-group type = Pm-3m (221)
1.0
4.371 0.000 0.000
0.000 4.371 0.000
0.000 0.000 4.371
Rb W C
1 3 1
direct
0.000 0.000 0.000 Rb
0.000 0.500 0.500 W
0.500 0.000 0.500 W
0.500 0.500 0.000 W
0.500 0.500 0.500 C

***

[19]
Rb3WC (PBE-GGA, relaxed); excess energy over the best structure of this formula in the dataset = 0.000 eV per formula unit; calculated total energy = -2.898 eV/atom; crystal system = cubic; V = 225 Å³/f.u.; total magnetic moment = 1.4529 μB/atom; energy relative to the elements = 204.3 kJ/mol of atoms; space-group type = Pm-3m (221)
1.0
6.084 0.000 0.000
0.000 6.084 0.000
0.000 0.000 6.084
Rb W C
3 1 1
direct
0.000 0.000 0.500 Rb
0.000 0.500 0.000 Rb
0.500 0.000 0.000 Rb
0.500 0.500 0.500 W
0.000 0.000 0.000 C

***

[20]
RbYC (PBE-GGA, relaxed); excess energy over the best structure of this formula in the dataset = 0.980 eV per formula unit; calculated total energy = -5.237 eV/atom; crystal system = orthorhombic; V = 109 Å³/f.u.; total magnetic moment = 0.0000 μB/atom; energy relative to the elements = 30.4 kJ/mol of atoms; space-group type = Pmmn (59)
1.0
4.265 0.000 0.000
0.000 4.902 0.000
0.000 0.000 10.410
Rb Y C
2 2 2
direct
0.250 0.250 0.199 Rb
0.750 0.750 0.801 Rb
0.250 0.250 0.560 Y
0.750 0.750 0.440 Y
0.250 0.750 0.548 C
0.750 0.250 0.452 C

***

[21]
RbYC (PBE-GGA, relaxed); excess energy over the best structure of this formula in the dataset = 1.350 eV per formula unit; calculated total energy = -5.114 eV/atom; crystal system = monoclinic; V = 98 Å³/f.u.; total magnetic moment = 0.1094 μB/atom; energy relative to the elements = 42.3 kJ/mol of atoms; space-group type = Pm (6)
1.0
3.735 0.000 0.000
0.000 5.398 0.000
-0.858 0.000 9.749
Rb Y C
2 2 2
direct
0.000 0.000 0.000 Rb
0.012 0.500 0.731 Rb
0.105 0.000 0.469 Y
0.572 0.500 0.296 Y
0.447 0.000 0.734 C
0.658 0.000 0.638 C

***

[22]
RbYC (PBE-GGA, relaxed); excess energy over the best structure of this formula in the dataset = 0.908 eV per formula unit; calculated total energy = -5.261 eV/atom; crystal system = triclinic; V = 89 Å³/f.u.; total magnetic moment = 0.0000 μB/atom; energy relative to the elements = 28.0 kJ/mol of atoms; space-group type = P1 (1)
1.0
3.655 0.000 0.000
0.000 3.655 0.000
-0.030 -0.026 13.325
Rb Y C
2 2 2
direct
0.000 0.000 0.000 Rb
0.492 0.494 0.340 Rb
0.013 0.997 0.582 Y
0.514 0.498 0.758 Y
0.016 0.998 0.767 C
0.515 0.497 0.573 C

***

[23]
Rb3YC (PBE-GGA, relaxed); excess energy over the best structure of this formula in the dataset = 0.000 eV per formula unit; calculated total energy = -2.202 eV/atom; crystal system = cubic; V = 236 Å³/f.u.; total magnetic moment = 0.0002 μB/atom; energy relative to the elements = 146.3 kJ/mol of atoms; space-group type = Pm-3m (221)
1.0
6.178 0.000 0.000
0.000 6.178 0.000
0.000 0.000 6.178
Rb Y C
3 1 1
direct
0.000 0.000 0.500 Rb
0.000 0.500 0.000 Rb
0.500 0.000 0.000 Rb
0.500 0.500 0.500 Y
0.000 0.000 0.000 C

***

[24]
RbYC (PBE-GGA, relaxed); excess energy over the best structure of this formula in the dataset = 0.686 eV per formula unit; calculated total energy = -5.335 eV/atom; crystal system = orthorhombic; V = 133 Å³/f.u.; total magnetic moment = 0.0583 μB/atom; energy relative to the elements = 20.9 kJ/mol of atoms; space-group type = Imm2 (44)
1.0
-2.168 2.710 11.354
2.168 -2.710 11.354
2.168 2.710 -11.354
Rb Y C
2 2 2
direct
0.000 0.000 0.000 Rb
0.313 0.313 0.000 Rb
0.167 0.667 0.500 Y
0.673 0.173 0.500 Y
0.592 0.716 0.876 C
0.840 0.716 0.124 C

***

[25]
Rb2YC (PBE-GGA, relaxed); calculated total energy = -3.600 eV/atom; crystal system = tetragonal; V = 202 Å³/f.u.; total magnetic moment = 0.0626 μB/atom; energy relative to the elements = 77.7 kJ/mol of atoms; space-group type = I-42d (122)
1.0
-6.670 6.670 2.271
6.670 -6.670 2.271
6.670 6.670 -2.271
Rb Y C
4 2 2
direct
0.375 0.195 0.320 Rb
0.805 0.125 0.180 Rb
0.875 0.055 0.680 Rb
0.945 0.625 0.820 Rb
0.250 0.750 0.500 Y
0.500 0.500 0.000 Y
0.000 0.000 0.000 C
0.750 0.250 0.500 C

***

[26]
RbYC (PBE-GGA, relaxed); excess energy over the best structure of this formula in the dataset = 1.066 eV per formula unit; calculated total energy = -5.209 eV/atom; crystal system = triclinic; V = 97 Å³/f.u.; total magnetic moment = 0.1329 μB/atom; energy relative to the elements = 33.1 kJ/mol of atoms; space-group type = P-1 (2)
1.0
4.190 0.000 0.000
-2.090 3.633 0.000
-0.896 -1.771 12.715
Rb Y C
2 2 2
direct
0.144 0.153 0.316 Rb
0.856 0.847 0.684 Rb
0.293 0.624 0.911 Y
0.707 0.376 0.089 Y
0.383 0.719 0.108 C
0.617 0.281 0.892 C

***

[27]
RbYC (PBE-GGA, relaxed); excess energy over the best structure of this formula in the dataset = 0.667 eV per formula unit; calculated total energy = -5.342 eV/atom; crystal system = monoclinic; V = 106 Å³/f.u.; total magnetic moment = 0.0000 μB/atom; energy relative to the elements = 20.3 kJ/mol of atoms; space-group type = Pm (6)
1.0
4.059 0.000 0.000
0.000 6.900 0.000
-1.724 0.000 7.545
Rb Y C
2 2 2
direct
0.000 0.000 0.000 Rb
0.001 0.000 0.500 Rb
0.489 0.500 0.226 Y
0.510 0.500 0.776 Y
0.099 0.500 0.941 C
0.900 0.500 0.061 C